VASP calculation (PBE+U) on a relaxed Rb2TlFe2F7 crystal.

Unit cell a=4.308 b=4.308 c=11.417 alpha=79.12 beta=79.12 gamma=90.00
Site moments in Bohr magnetons follow the coordinates.
Element x y z (fractional)
F 0.313 0.313 0.374  0.03
F 0.094 0.594 0.811  0.03
F 0.594 0.094 0.811  0.03
F 0.406 0.906 0.189  0.03
F 0.906 0.406 0.189  0.03
F 0.687 0.687 0.626  0.03
F 0.500 0.500 0.000  0.04
Rb 0.183 0.183 0.633  0.00
Rb 0.817 0.817 0.367  0.00
Fe 0.594 0.594 0.811  3.81
Fe 0.406 0.406 0.189  3.81
Tl 0.000 0.000 0.000  0.00

## Properties
For the calculated total energy, the calculation gives -4.86 eV per atom. As for the spin magnetization: 8.0 μB/f.u. For the density of states at the Fermi level, the calculation gives 0.000 states/eV/atom.